(1)
Material: La12PmPr6
Method: DFT, GGA-PBE
State: relaxed

Summary:
As for the space-group type: R-3 (148). The total energy comes out at -90.62 eV/cell. For the size of the total moment, the calculation gives 0.0 μB per formula unit. As for the energy above the lowest structure with this stoichiometry: 0.090 eV per atom.

a = 8.892 Å, b = 8.892 Å, c = 8.892 Å
α = 89.28°, β = 89.28°, γ = 89.28°
Fractional positions:
La 0.782 0.535 0.432
La 0.432 0.782 0.535
La 0.535 0.432 0.782
La 0.218 0.465 0.568
La 0.568 0.218 0.465
La 0.465 0.568 0.218
La 0.019 0.191 0.361
La 0.809 0.639 0.981
La 0.639 0.981 0.809
La 0.981 0.809 0.639
La 0.191 0.361 0.019
La 0.361 0.019 0.191
Pm 0.000 0.000 0.000
Pr 0.738 0.903 0.299
Pr 0.701 0.262 0.097
Pr 0.097 0.701 0.262
Pr 0.262 0.097 0.701
Pr 0.299 0.738 0.903
Pr 0.903 0.299 0.738


(2)
Material: La3PmPr5
Method: DFT, GGA-PBE
State: relaxed

Summary:
As for the space-group type: C2/m (12). The total energy comes out at -80.22 eV/cell. For the size of the total moment, the calculation gives 0.0 μB per formula unit.

a = 7.552 Å, b = 7.552 Å, c = 13.298 Å
α = 78.06°, β = 78.06°, γ = 71.20°
Fractional positions:
La 0.571 0.571 0.791
La 0.726 0.726 0.546
La 0.000 0.000 0.000
La 0.000 0.000 0.500
La 0.429 0.429 0.209
La 0.274 0.274 0.454
Pm 0.128 0.128 0.733
Pm 0.872 0.872 0.267
Pr 0.965 0.343 0.222
Pr 0.314 0.686 0.000
Pr 0.733 0.733 0.043
Pr 0.572 0.572 0.381
Pr 0.428 0.428 0.619
Pr 0.267 0.267 0.957
Pr 0.343 0.965 0.222
Pr 0.686 0.314 0.000
Pr 0.035 0.657 0.778
Pr 0.657 0.035 0.778


(3)
Material: La7Pm2Pr
Method: DFT, GGA-PBE
State: relaxed

Summary:
As for the space-group type: P-1 (2). The total energy comes out at -47.00 eV/cell. For the size of the total moment, the calculation gives 0.0 μB per formula unit. As for the energy above the lowest structure with this stoichiometry: 0.000 eV per atom.

a = 5.877 Å, b = 8.923 Å, c = 8.951 Å
α = 120.42°, β = 109.04°, γ = 90.22°
Fractional positions:
La 0.123 0.660 0.246
La 0.877 0.340 0.754
La 0.344 0.646 0.689
La 0.656 0.354 0.311
La 0.611 0.950 0.226
La 0.389 0.050 0.774
La 0.500 0.500 0.000
Pm 0.763 0.808 0.523
Pm 0.237 0.192 0.477
Pr 0.000 0.000 0.000


(4)
Material: La2Pm3Pr8
Method: DFT, GGA-PBE
State: relaxed

Summary:
As for the space-group type: C2/m (12). The total energy comes out at -59.77 eV/cell. For the size of the total moment, the calculation gives 0.0 μB per formula unit. As for the energy above the lowest structure with this stoichiometry: 0.052 eV per atom.

a = 5.845 Å, b = 7.780 Å, c = 11.289 Å
α = 110.16°, β = 90.04°, γ = 90.00°
Fractional positions:
La 0.498 0.242 0.485
La 0.502 0.758 0.515
Pm 0.500 0.000 0.000
Pm 0.000 0.286 0.000
Pm 0.000 0.714 0.000
Pr 0.001 0.669 0.338
Pr 0.999 0.331 0.662
Pr 0.999 0.132 0.263
Pr 0.001 0.868 0.737
Pr 0.500 0.603 0.792
Pr 0.500 0.189 0.792
Pr 0.500 0.811 0.208
Pr 0.500 0.397 0.208